DFT (PBE-GGA) results for a geometry-optimized Li4Pm3Si4 structure.

Unit cell a=8.275 b=8.275 c=8.275 alpha=149.43 beta=132.34 gamma=57.69
Fractional positions:
Li1 0.020 0.829 0.191
Li2 0.361 0.171 0.191
Li3 0.639 0.829 0.809
Li4 0.980 0.171 0.809
Pm1 0.000 0.500 0.500
Pm2 0.369 0.369 0.000
Pm3 0.631 0.631 0.000
Si1 0.213 0.713 0.500
Si2 0.322 0.000 0.322
Si3 0.678 0.000 0.678
Si4 0.787 0.287 0.500

## Properties
total DFT energy (no corrections): -4.5138 eV/atom